Entry 1:
Compound: AcPm12Sm7
Source: Alexandria via LeMat-Bulk
Functional: PBE
Structure: relaxed

Cell: 10.0505 10.0505 10.0505 Å, 109.47 109.47 109.47°
Atoms (fractional coordinates):
Ac 0.0000 0.0000 0.0000
Pm 0.0000 0.2550 0.7450
Pm 0.0000 0.7450 0.2550
Pm 0.2550 0.0000 0.7450
Pm 0.2550 0.2550 0.5099
Pm 0.2550 0.5099 0.2550
Pm 0.2550 0.7450 0.0000
Pm 0.4901 0.7450 0.7450
Pm 0.5099 0.2550 0.2550
Pm 0.7450 0.0000 0.2550
Pm 0.7450 0.2550 0.0000
Pm 0.7450 0.4901 0.7450
Pm 0.7450 0.7450 0.4901
Sm 0.0000 0.0000 0.5000
Sm 0.0000 0.5000 0.0000
Sm 0.0000 0.5000 0.5000
Sm 0.5000 0.0000 0.0000
Sm 0.5000 0.0000 0.5000
Sm 0.5000 0.5000 0.0000
Sm 0.5000 0.5000 0.5000

Formation energy from the elements = 56.8 kJ/mol of atoms
Symmetry = Im-3m (229)
Uncorrected energy = -82.38 eV/cell

---

Entry 2:
Compound: TaPtRh2
Source: Alexandria via LeMat-Bulk
Functional: PBE
Structure: relaxed

Cell: 5.5560 7.6829 2.8752 Å, 90.00 90.00 90.00°
Atoms (fractional coordinates):
Ta 0.0000 0.0000 0.0000
Ta 0.5000 0.5000 0.0000
Pt 0.0000 0.5000 0.0000
Pt 0.5000 0.0000 0.0000
Rh 0.2500 0.2500 0.5000
Rh 0.2500 0.7500 0.5000
Rh 0.7500 0.2500 0.5000
Rh 0.7500 0.7500 0.5000

Formation energy from the elements = -40.0 kJ/mol of atoms
Symmetry = Cmmm (65)
Uncorrected energy = -68.51 eV/cell

---

Entry 3:
Compound: ZnSbTe2
Source: Alexandria via LeMat-Bulk
Functional: PBE
Structure: relaxed

Cell: 3.3123 3.3123 35.2760 Å, 90.00 90.00 120.00°
Atoms (fractional coordinates):
Zn 0.0000 0.0000 0.0000
Zn 0.3333 0.6667 0.6667
Zn 0.6667 0.3333 0.3333
Sb 0.0000 0.0000 0.2720
Sb 0.3333 0.6667 0.9386
Sb 0.6667 0.3333 0.6053
Te 0.0000 0.0000 0.5066
Te 0.0000 0.0000 0.7299
Te 0.3333 0.6667 0.1733
Te 0.3333 0.6667 0.3965
Te 0.6667 0.3333 0.0632
Te 0.6667 0.3333 0.8400

Raw formation energy = 0.236 eV/atom
Symmetry = R3m (160)
Uncorrected energy = -32.21 eV/cell

---

Entry 4:
Compound: Y2ZnNi6H
Source: Alexandria via LeMat-Bulk
Functional: PBE
Structure: relaxed

Cell: 6.4776 6.4776 6.4776 Å, 47.95 47.95 47.95°
Atoms (fractional coordinates):
Y 0.2232 0.2232 0.2232
Y 0.7768 0.7768 0.7768
Zn 0.5000 0.5000 0.5000
Ni 0.2263 0.2263 0.7121
Ni 0.2263 0.7121 0.2263
Ni 0.2879 0.7737 0.7737
Ni 0.7121 0.2263 0.2263
Ni 0.7737 0.2879 0.7737
Ni 0.7737 0.7737 0.2879
H 0.0000 0.0000 0.0000

Symmetry = R-3m (166)
Uncorrected energy = -55.36 eV/cell

---

What is the uncorrected energy in the first record? -82.38 eV/cell

---

What is the uncorrected energy in the third record? -32.21 eV/cell